Computed, not measured: a relaxed structure of K2VSnCl6 at the PBE level of DFT.

Lattice parameters (Å, degrees): 7.287 7.656 10.518 90.00 90.00 90.00
Last column: magnetic moment on the atom in μB.
Positions (direct):
K 0.500 0.793 0.222  0.00
K 0.000 0.207 0.722  0.00
K 0.500 0.793 0.778  0.00
K 0.000 0.207 0.278  0.00
V 0.500 0.229 0.500  2.58
V 0.000 0.771 0.000  2.58
Sn 0.000 0.723 0.500  0.00
Sn 0.500 0.277 0.000  0.00
Cl 0.500 0.223 0.264  -0.01
Cl 0.500 0.223 0.736  -0.01
Cl 0.000 0.777 0.236  -0.01
Cl 0.000 0.777 0.764  -0.01
Cl 0.263 0.994 0.500  -0.01
Cl 0.737 0.994 0.500  -0.01
Cl 0.253 0.450 0.500  -0.01
Cl 0.747 0.450 0.500  -0.01
Cl 0.753 0.550 0.000  -0.01
Cl 0.247 0.550 0.000  -0.01
Cl 0.237 0.006 0.000  -0.01
Cl 0.763 0.006 0.000  -0.01

=====

Computed, not measured: a relaxed structure of KYSnCl6 at the PBE level of DFT.

Lattice parameters (Å, degrees): 7.250 7.250 13.473 90.00 90.00 120.00
Positions (direct):
K 0.000 0.000 0.000
K 0.000 0.000 0.500
Y 0.667 0.333 0.250
Y 0.333 0.667 0.750
Sn 0.333 0.667 0.250
Sn 0.667 0.333 0.750
Cl 0.645 0.624 0.137
Cl 0.979 0.355 0.137
Cl 0.355 0.979 0.637
Cl 0.021 0.645 0.863
Cl 0.376 0.355 0.363
Cl 0.979 0.624 0.363
Cl 0.624 0.979 0.863
Cl 0.645 0.021 0.363
Cl 0.021 0.376 0.637
Cl 0.376 0.021 0.137
Cl 0.624 0.645 0.637
Cl 0.355 0.376 0.863

=====

Computed, not measured: a relaxed structure of KZnSnCl5 at the PBE level of DFT.

Lattice parameters (Å, degrees): 7.592 7.592 10.054 104.00 104.00 105.99
Positions (direct):
K 0.349 0.651 0.250
K 0.651 0.349 0.750
Zn 0.684 0.316 0.250
Zn 0.316 0.684 0.750
Sn 0.000 0.000 0.500
Sn 0.000 0.000 0.000
Cl 0.094 0.906 0.250
Cl 0.906 0.094 0.750
Cl 0.913 0.336 0.136
Cl 0.087 0.664 0.864
Cl 0.664 0.087 0.364
Cl 0.336 0.913 0.636
Cl 0.738 0.602 0.428
Cl 0.262 0.398 0.572
Cl 0.398 0.262 0.072
Cl 0.602 0.738 0.928

=====

Computed, not measured: a relaxed structure of KSrCl2 at the PBE level of DFT.

Lattice parameters (Å, degrees): 5.005 5.005 8.766 90.00 90.00 130.30
Positions (direct):
Sr 0.500 0.500 0.750
K 0.500 0.500 0.250
Cl 0.000 0.000 0.988
Cl 0.000 0.000 0.512

## Properties
E above lowest polymorph = 10.2 kJ per mole of atoms

=====

Computed, not measured: a relaxed structure of K2SrCl at the PBE level of DFT.

Lattice parameters (Å, degrees): 4.790 5.529 7.407 90.00 90.00 90.00
Positions (direct):
Sr 0.500 0.000 0.500
K 0.000 0.000 0.000
K 0.500 0.500 0.000
Cl 0.000 0.500 0.500

## Properties
E above lowest polymorph = 38.8 kJ per mole of atoms

=====

Computed, not measured: a relaxed structure of KSrCl2 at the PBE level of DFT.

Lattice parameters (Å, degrees): 4.405 4.405 8.572 86.87 86.87 61.63
Positions (direct):
Sr 0.250 0.250 0.250
K 0.750 0.750 0.750
Cl 0.072 0.072 0.966
Cl 0.428 0.428 0.534

## Properties
E above lowest polymorph = 7.0 kJ per mole of atoms

=====

Computed, not measured: a relaxed structure of KSrCl2 at the PBE level of DFT.

Lattice parameters (Å, degrees): 9.478 9.478 9.478 153.90 153.90 37.24
Positions (direct):
Sr 0.750 0.250 0.500
K 0.500 0.500 0.000
Cl 0.000 0.000 0.000
Cl 0.250 0.750 0.500

## Properties
E above lowest polymorph = 20.9 kJ per mole of atoms

=====

Computed, not measured: a relaxed structure of KSr2Cl5 at the PBE level of DFT.

Lattice parameters (Å, degrees): 7.951 8.965 12.902 89.95 90.00 90.00
Positions (direct):
K 0.463 0.491 0.829
K 0.537 0.509 0.171
K 0.963 0.509 0.671
K 0.037 0.491 0.329
Sr 0.480 0.998 0.823
Sr 0.520 0.002 0.177
Sr 0.980 0.002 0.677
Sr 0.020 0.998 0.323
Sr 0.436 0.750 0.505
Sr 0.564 0.250 0.495
Sr 0.936 0.250 0.995
Sr 0.064 0.750 0.005
Cl 0.336 0.467 0.592
Cl 0.664 0.533 0.408
Cl 0.836 0.533 0.908
Cl 0.164 0.467 0.092
Cl 0.672 0.785 0.682
Cl 0.328 0.215 0.318
Cl 0.172 0.215 0.818
Cl 0.828 0.785 0.182
Cl 0.194 0.772 0.786
Cl 0.806 0.228 0.214
Cl 0.694 0.228 0.714
Cl 0.306 0.772 0.286
Cl 0.049 0.784 0.503
Cl 0.951 0.216 0.497
Cl 0.549 0.216 0.997
Cl 0.451 0.784 0.003
Cl 0.842 0.964 0.898
Cl 0.158 0.036 0.102
Cl 0.342 0.036 0.602
Cl 0.658 0.964 0.398

## Properties
E above lowest polymorph = 0.0 kJ per mole of atoms

=====

Computed, not measured: a relaxed structure of K2SrCl at the PBE level of DFT.

Lattice parameters (Å, degrees): 4.091 4.091 12.465 90.00 90.00 90.00
Positions (direct):
Sr 0.000 0.000 0.569
K 0.000 0.000 0.979
K 0.500 0.500 0.283
Cl 0.500 0.500 0.669

## Properties
E above lowest polymorph = 14.1 kJ per mole of atoms

=====

Computed, not measured: a relaxed structure of K2Sr2Cl at the PBE level of DFT.

Lattice parameters (Å, degrees): 8.330 8.330 7.941 90.00 90.00 90.00
Positions (direct):
Sr 0.323 0.823 0.000
Sr 0.823 0.677 0.000
Sr 0.677 0.177 0.000
Sr 0.177 0.323 0.000
K 0.167 0.667 0.500
K 0.667 0.833 0.500
K 0.833 0.333 0.500
K 0.333 0.167 0.500
Cl 0.000 0.000 0.000
Cl 0.500 0.500 0.000

## Properties
E above lowest polymorph = 0.0 kJ per mole of atoms

=====

Computed, not measured: a relaxed structure of KSrCl4 at the PBE level of DFT.

Lattice parameters (Å, degrees): 6.189 6.189 6.189 60.00 60.00 60.00
Last column: magnetic moment on the atom in μB.
Positions (direct):
K 0.750 0.750 0.750  0.00
Sr 0.000 0.000 0.000  0.00
Cl 0.876 0.375 0.375  0.22
Cl 0.375 0.375 0.876  0.22
Cl 0.375 0.876 0.375  0.22
Cl 0.375 0.375 0.375  0.22

=====

Computed, not measured: a relaxed structure of KSrCl2 at the PBE level of DFT.

Lattice parameters (Å, degrees): 5.753 4.511 5.777 90.00 90.00 90.00
Positions (direct):
Sr 0.500 0.000 0.877
K 0.000 0.502 0.402
Cl 0.000 0.006 0.847
Cl 0.500 0.992 0.375

## Properties
E above lowest polymorph = 3.2 kJ per mole of atoms

=====

| no. | size of the total moment (μB/cell) | formation energy without anion corrections (eV/atom) | VASP energy (eV/atom) |
| --- | --- | --- | --- |
| 1 | 6.00 | -1.39 | -4.03 |
| 2 | 0.00 | -1.82 | -4.33 |
| 3 | 0.00 | -1.31 | -3.26 |
| 4 | 0.14 | -1.69 | -3.31 |
| 5 | 0.00 | -0.49 | -1.92 |
| 6 | 0.25 | -1.72 | -3.34 |
| 7 | 0.00 | -1.58 | -3.20 |
| 8 | 0.00 | -2.36 | -4.07 |
| 9 | 0.00 | -0.74 | -2.17 |
| 10 | 0.00 | -0.54 | -2.02 |
| 11 | 1.04 | -1.03 | -2.73 |
| 12 | 0.00 | -1.76 | -3.38 |